(1)
PrNd2Cd (GGA-PBE, relaxed); SG = P4/mmm; energy relative to the lowest polymorph listed for this composition = 43.1 meV per atom; formation energy = -0.1097 eV per atom; M_tot = 0.00 μB per formula unit; N(E_F) = 6.69 states/eV per cell
1.0
5.001 0.000 0.000
0.000 5.001 0.000
0.000 0.000 5.004
Pr Nd Cd
1 2 1
direct
0.000 0.000 0.000
0.000 0.500 0.500
0.500 0.000 0.500
0.500 0.500 0.000


(2)
NbAgI2 (GGA-PBE, relaxed); SG = Fm-3m; energy relative to the lowest polymorph listed for this composition = 16.6 meV per atom; raw formation energy = 0.5495 eV per atom; M_tot = 0.00 μB per formula unit; N(E_F) = 12.02 states/eV per cell
1.0
7.187 0.000 0.000
0.000 7.187 0.000
0.000 0.000 7.187
Nb Ag I
4 4 8
direct
0.000 0.000 0.000
0.000 0.500 0.500
0.500 0.000 0.500
0.500 0.500 0.000
0.000 0.000 0.500
0.000 0.500 0.000
0.500 0.000 0.000
0.500 0.500 0.500
0.250 0.250 0.250
0.250 0.250 0.750
0.250 0.750 0.250
0.250 0.750 0.750
0.750 0.250 0.250
0.750 0.250 0.750
0.750 0.750 0.250
0.750 0.750 0.750


(3)
MgTeAs2 (GGA-PBE, relaxed); SG = Pmmm; energy relative to the lowest polymorph listed for this composition = 349.2 meV per atom; raw formation energy = 0.1012 eV per atom; M_tot = 0.00 μB per formula unit; N(E_F) = 2.44 states/eV per cell
1.0
3.610 0.000 0.000
0.000 4.886 0.000
0.000 0.000 4.986
Mg Te As
1 1 2
direct
0.000 0.000 0.000
0.500 0.000 0.500
0.000 0.500 0.500
0.500 0.500 0.000


(4)
TaMn (GGA-PBE, relaxed); SG = P6_3/mmc; formation energy = 0.3255 eV per atom; M_tot = 0.00 μB per formula unit; N(E_F) = 3.42 states/eV per cell
1.0
4.010 0.000 0.000
-2.005 3.473 0.000
0.000 0.000 4.577
Ta Mn
2 2
direct
0.333 0.667 0.250
0.667 0.333 0.750
0.000 0.000 0.000
0.000 0.000 0.500


(5)
ScIn3Pb (GGA-PBE, relaxed); SG = Pm-3m; energy relative to the lowest polymorph listed for this composition = 335.0 meV per atom; formation energy = 0.7369 eV per atom; M_tot = 0.00 μB per formula unit; N(E_F) = 5.04 states/eV per cell
1.0
5.704 0.000 0.000
0.000 5.704 0.000
0.000 0.000 5.704
Sc In Pb
1 3 1
direct
0.000 0.000 0.000
0.000 0.500 0.500
0.500 0.000 0.500
0.500 0.500 0.000
0.500 0.500 0.500